## VCrPO2 (GGA+U)

Data for crystalline VCrPO2 at its relaxed geometry. Values from VASP.

- total magnetic moment (μB/atom) = 0.80
- relative energy among the computed polymorphs (meV/atom) = 312
- symmetry = P4/mmm, No. 123
- total DFT energy (no corrections) (eV/atom) = -6.5394

```
&SYSTEM
  ibrav = 0, nat = 5, ntyp = 4
/
ATOMIC_SPECIES
O 16.00 O.upf
P 30.97 P.upf
Cr 52.00 Cr.upf
V 50.94 V.upf
CELL_PARAMETERS angstrom
3.6683 0.0000 0.0000
0.0000 3.6683 0.0000
0.0000 0.0000 5.1390
ATOMIC_POSITIONS crystal
O 0.0000 0.5000 0.0000
O 0.5000 0.0000 0.0000
P 0.0000 0.0000 0.5000
Cr 0.0000 0.0000 0.0000
V 0.5000 0.5000 0.5000
```